Record 1
Np2Ni17 PBE relaxed; magnetization = 0.0159 μB/atom; energy = -6.60 eV per atom; energy relative to the elements = -1.25 eV/f.u.
1.0
6.228 -0.059 -0.052
0.825 6.174 -0.052
0.825 0.715 6.132
Ni Np
17 2
Cartesian
4.614 0.172 1.795
4.723 4.095 0.884
3.154 2.735 5.144
3.114 -0.030 -0.026
3.154 5.444 2.075
0.825 4.543 1.795
5.836 2.351 2.075
0.785 0.681 0.601
7.092 6.149 5.427
4.723 1.386 3.953
0.825 2.345 4.285
2.041 4.479 3.953
0.412 3.087 -0.026
2.438 4.312 -0.052
4.614 1.802 -0.052
0.412 0.357 3.066
2.438 0.484 4.285
2.654 2.301 2.031
5.223 4.528 3.997

Record 2
NpNi4 PBE relaxed; magnetization = 0.5202 μB/atom; energy = -5.66 eV per atom; energy relative to the elements = 7.76 eV/f.u.
1.0
-2.259 1.429 -3.683
-0.506 -4.312 -1.364
-3.918 -0.268 2.299
Ni Np
4 1
Cartesian
0.000 0.000 0.000
-3.089 0.581 -0.692
-2.212 -2.290 0.468
-1.382 -1.441 -2.523
-3.341 -1.575 -1.374

Record 3
NpNi5 PBE relaxed; magnetization = 0.3352 μB/atom; energy = -7.10 eV per atom; energy relative to the elements = -0.75 eV/f.u.
1.0
0.281 3.421 -3.436
-3.481 0.232 3.379
2.394 2.133 2.319
Ni Np
5 1
Cartesian
-0.973 2.358 -1.164
-2.227 1.295 1.107
-0.403 2.893 1.131
1.337 2.777 -0.558
-0.544 1.182 2.849
0.000 0.000 0.000

Record 4
NpNi2 PBE relaxed; magnetization = 1.2583 μB/atom; energy = -8.31 eV per atom; energy relative to the elements = -0.44 eV/f.u.
1.0
-2.919 -4.034 0.377
-1.579 -2.333 -4.123
1.806 -4.507 -1.165
Ni Np
4 2
Cartesian
-2.586 -4.543 -2.487
-1.683 -6.796 -3.069
-0.893 -5.630 -1.008
-0.223 -4.780 -3.258
0.000 0.000 0.000
-0.673 -2.719 -1.228

Record 5
NpNi2 PBE relaxed; magnetization = 0.9544 μB/atom; energy = -8.03 eV per atom; energy relative to the elements = 0.40 eV/f.u.
1.0
2.960 0.000 0.000
0.000 2.960 0.000
-1.480 -1.480 5.047
Ni Np
2 1
Cartesian
0.000 0.000 3.199
1.480 1.480 1.847
0.000 0.000 0.000

magnetization of number 1 (Np2Ni17)? 0.0159 μB/atom